Below is a relaxed structure of Cu2Ag3, with properties calculated at the PBE level.

Unit cell a=6.9330 b=2.8557 c=7.9946 alpha=90.00 beta=100.20 gamma=90.00
Last column: nearest neighbours and their distance in Å.
Fractional coordinates of all 10 atoms:
Ag (0.0000, 0.5000, 0.0000)  6 Cu 2.79-3.02, 6 Ag 2.81-2.86
Ag (0.2014, 0.5000, 0.6306)  3 Cu 2.73-2.78, 8 Ag 2.84-2.96
Ag (0.5000, 0.0000, 0.5000)  8 Ag 2.77-2.86, 4 Cu 2.87
Ag (0.1300, 0.0000, 0.3018)  2 Cu 2.76, 9 Ag 2.77-2.96
Ag (0.8700, 0.0000, 0.6982)  2 Cu 2.76, 9 Ag 2.77-2.96
Ag (0.7986, 0.5000, 0.3694)  3 Cu 2.73-2.78, 8 Ag 2.84-2.96
Cu (0.3181, 0.0000, 0.9218)  5 Cu 2.53-2.61, 4 Ag 2.73-2.79
Cu (0.4190, 0.5000, 0.1843)  4 Cu 2.53-2.57, 3 Ag 2.76-2.78
Cu (0.6819, 0.0000, 0.0782)  5 Cu 2.53-2.61, 4 Ag 2.73-2.79
Cu (0.5810, 0.5000, 0.8157)  4 Cu 2.53-2.57, 3 Ag 2.76-2.78

The formation energy comes out at 0.08 eV per atom.